[1]
# Ba2ZrRuC PBE optimized geometry
# **N(E_F)**: 6.3 states/eV/f.u.
# **VASP energy**: -5.139 eV/atom
# **E_form**: 1.04 eV/atom
data_Ba2ZrRuC
_chemical_formula_sum 'Ba2 Zr1 Ru1 C1'
_cell_length_a 6.2767
_cell_length_b 6.2767
_cell_length_c 3.8695
_cell_angle_alpha 90.00
_cell_angle_beta 90.00
_cell_angle_gamma 90.00
_symmetry_space_group_name_H-M 'P 4/m m m'
_symmetry_Int_Tables_number 123
_symmetry_space_group_name_Hall '-P 4 2'
loop_
_atom_site_label
_atom_site_type_symbol
_atom_site_fract_x
_atom_site_fract_y
_atom_site_fract_z
_atom_site_occupancy
Ba1 Ba 0.0000 0.5000 0.0000 1
Zr1 Zr 0.0000 0.0000 0.5000 1
Ru1 Ru 0.5000 0.5000 0.0000 1
C1 C 0.5000 0.5000 0.5000 1



[2]
# Ca3HfZn PBE optimized geometry
# **ΔE to the lowest computed polymorph**: 0.446 eV/atom
# **N(E_F)**: 10.9 states/eV/f.u.
# **VASP energy**: -2.390 eV/atom
# **E_form**: 1.06 eV/atom
data_Ca3HfZn
_chemical_formula_sum 'Ca3 Hf1 Zn1'
_cell_length_a 5.8531
_cell_length_b 5.8531
_cell_length_c 5.8531
_cell_angle_alpha 90.00
_cell_angle_beta 90.00
_cell_angle_gamma 90.00
_symmetry_space_group_name_H-M 'P m -3 m'
_symmetry_Int_Tables_number 221
_symmetry_space_group_name_Hall '-P 4 2 3'
loop_
_atom_site_label
_atom_site_type_symbol
_atom_site_fract_x
_atom_site_fract_y
_atom_site_fract_z
_atom_site_occupancy
Ca1 Ca 0.0000 0.0000 0.5000 1
Hf1 Hf 0.0000 0.0000 0.0000 1
Zn1 Zn 0.5000 0.5000 0.5000 1



[3]
# CuReSe2 PBE optimized geometry
# **ΔE to the lowest computed polymorph**: 0.094 eV/atom
# **Uncorrected formation energy**: 0.273 eV/atom
# **N(E_F)**: 3.0 states/eV/f.u.
# **VASP energy**: -5.606 eV/atom
data_CuReSe2
_chemical_formula_sum 'Cu1 Re1 Se2'
_cell_length_a 2.9337
_cell_length_b 2.9337
_cell_length_c 9.0203
_cell_angle_alpha 90.00
_cell_angle_beta 90.00
_cell_angle_gamma 90.00
_symmetry_space_group_name_H-M 'P 4 m m'
_symmetry_Int_Tables_number 99
_symmetry_space_group_name_Hall 'P 4 -2'
loop_
_atom_site_label
_atom_site_type_symbol
_atom_site_fract_x
_atom_site_fract_y
_atom_site_fract_z
_atom_site_occupancy
Cu1 Cu 0.0000 0.0000 0.0000 1
Re1 Re 0.5000 0.5000 0.2031 1
Se1 Se 0.0000 0.0000 0.3672 1
Se2 Se 0.5000 0.5000 0.7994 1



[4]
# Pr2ErTm12 PBE optimized geometry
# **N(E_F)**: 29.0 states/eV/f.u.
# **VASP energy**: -4.145 eV/atom
# **E_form**: 0.37 eV/atom
data_Pr2ErTm12
_chemical_formula_sum 'Pr4 Er2 Tm24'
_cell_length_a 6.4052
_cell_length_b 6.4052
_cell_length_c 24.4645
_cell_angle_alpha 90.00
_cell_angle_beta 90.00
_cell_angle_gamma 90.00
_symmetry_space_group_name_H-M 'P 4/n b m'
_symmetry_Int_Tables_number 125
loop_
_symmetry_equiv_pos_as_xyz
'x,y,z'
'-x,-y,-z'
'-y+1/2,x,z'
'y+1/2,-x,-z'
'-x+1/2,-y+1/2,z'
'x+1/2,y+1/2,-z'
'y,-x+1/2,z'
'-y,x+1/2,-z'
'x,-y+1/2,-z'
'-x,y+1/2,z'
'-y+1/2,-x+1/2,-z'
'y+1/2,x+1/2,z'
'-x+1/2,y,-z'
'x+1/2,-y,z'
'y,x,-z'
'-y,-x,z'
loop_
_atom_site_label
_atom_site_type_symbol
_atom_site_fract_x
_atom_site_fract_y
_atom_site_fract_z
_atom_site_occupancy
Pr1 Pr 0.2500 0.7500 0.2315 1
Er1 Er 0.2500 0.7500 0.5000 1
Tm1 Tm 0.0012 0.5012 0.3896 1
Tm2 Tm 0.0810 0.5810 0.9395 1
Tm3 Tm 0.2500 0.2500 0.1600 1
Tm4 Tm 0.2500 0.2500 0.2879 1



[5]
# Y2Tc PBE optimized geometry
# **ΔE to the lowest computed polymorph**: 0.064 eV/atom
# **N(E_F)**: 1.9 states/eV/f.u.
# **VASP energy**: -7.713 eV/atom
# **E_form**: 0.05 eV/atom
data_Y2Tc
_chemical_formula_sum 'Y8 Tc4'
_cell_length_a 6.5319
_cell_length_b 4.7949
_cell_length_c 9.1570
_cell_angle_alpha 90.00
_cell_angle_beta 90.00
_cell_angle_gamma 90.00
_symmetry_space_group_name_H-M 'P n m a'
_symmetry_Int_Tables_number 62
_symmetry_space_group_name_Hall '-P 2ac 2n'
loop_
_atom_site_label
_atom_site_type_symbol
_atom_site_fract_x
_atom_site_fract_y
_atom_site_fract_z
_atom_site_occupancy
Y1 Y 0.0377 0.2500 0.2004 1
Y2 Y 0.1668 0.2500 0.5644 1
Tc1 Tc 0.2007 0.2500 0.8881 1



[6]
# Ir2RuSe PBE optimized geometry
# **Uncorrected formation energy**: 0.397 eV/atom
# **N(E_F)**: 4.1 states/eV/f.u.
# **VASP energy**: -7.223 eV/atom
data_Ir2RuSe
_chemical_formula_sum 'Ir2 Ru1 Se1'
_cell_length_a 2.8396
_cell_length_b 4.2055
_cell_length_c 5.2356
_cell_angle_alpha 90.00
_cell_angle_beta 104.84
_cell_angle_gamma 90.00
_symmetry_space_group_name_H-M 'P 1 2/m 1'
_symmetry_Int_Tables_number 10
_symmetry_space_group_name_Hall '-P 2y'
loop_
_atom_site_label
_atom_site_type_symbol
_atom_site_fract_x
_atom_site_fract_y
_atom_site_fract_z
_atom_site_occupancy
Ir1 Ir 0.1297 0.0000 0.2533 1
Ru1 Ru 0.5000 0.5000 0.0000 1
Se1 Se 0.5000 0.5000 0.5000 1



[7]
# TbNd7Zn4 PBE optimized geometry
# **N(E_F)**: 15.7 states/eV/f.u.
# **VASP energy**: -3.608 eV/atom
# **E_form**: -0.02 eV/atom
data_TbNd7Zn4
_chemical_formula_sum 'Tb2 Nd14 Zn8'
_cell_length_a 14.0698
_cell_length_b 5.6610
_cell_length_c 10.3755
_cell_angle_alpha 90.00
_cell_angle_beta 123.81
_cell_angle_gamma 90.00
_symmetry_space_group_name_H-M 'C 1 2/m 1'
_symmetry_Int_Tables_number 12
_symmetry_space_group_name_Hall '-C 2y'
loop_
_atom_site_label
_atom_site_type_symbol
_atom_site_fract_x
_atom_site_fract_y
_atom_site_fract_z
_atom_site_occupancy
Tb1 Tb 0.0000 0.0000 0.0000 1
Nd1 Nd 0.0000 0.5000 0.0000 1
Nd2 Nd 0.0677 0.0000 0.3919 1
Nd3 Nd 0.2064 0.0000 0.8782 1
Nd4 Nd 0.2113 0.5000 0.6545 1
Zn1 Zn 0.0478 0.5000 0.7545 1
Zn2 Zn 0.1770 0.5000 0.3354 1



[8]
# TeAs2I2 PBE optimized geometry
# **Uncorrected formation energy**: 0.072 eV/atom
# **VASP energy**: -3.036 eV/atom
data_TeAs2I2
_chemical_formula_sum 'Te4 As8 I8'
_cell_length_a 12.6345
_cell_length_b 9.1851
_cell_length_c 7.0287
_cell_angle_alpha 90.00
_cell_angle_beta 95.05
_cell_angle_gamma 90.00
_symmetry_space_group_name_H-M 'C 1 2/c 1'
_symmetry_Int_Tables_number 15
_symmetry_space_group_name_Hall '-C 2yc'
loop_
_atom_site_label
_atom_site_type_symbol
_atom_site_fract_x
_atom_site_fract_y
_atom_site_fract_z
_atom_site_occupancy
Te1 Te 0.0000 0.1080 0.2500 1
As1 As 0.1492 0.0489 0.9571 1
I1 I 0.1639 0.2836 0.7426 1